(1)
Density functional theory data (PBE) for an optimized crystal structure of VCdAu2Cl.

a = 4.9050 Å, b = 4.9050 Å, c = 5.6730 Å
α = 90.00°, β = 90.00°, γ = 90.00°
Space group P4/mmm (No. 123)
Unique sites:
V 0.0000 0.0000 0.0000 (multiplicity 1)
Cd 0.0000 0.0000 0.5000 (multiplicity 1)
Au 0.0000 0.5000 0.0000 (multiplicity 2)
Cl 0.5000 0.5000 0.5000 (multiplicity 1)

Computed properties:
**Energy relative to the elements, uncorrected**: 0.691 eV/atom
**DOS(E_F)**: 0.78 states/eV per atom

(2)
Density functional theory data (PBE) for an optimized crystal structure of BiS4Cl4.

a = 4.2863 Å, b = 7.1910 Å, c = 8.5365 Å
α = 89.61°, β = 88.60°, γ = 88.93°
Space group P-1 (No. 2)
Unique sites:
Bi 0.0000 0.0000 0.0000 (multiplicity 1)
S 0.3474 0.4756 0.6545 (multiplicity 2)
S 0.3544 0.3267 0.4493 (multiplicity 2)
Cl 0.0037 0.8700 0.2929 (multiplicity 2)
Cl 0.4872 0.2361 0.0778 (multiplicity 2)

Computed properties:
**Energy relative to the elements, uncorrected**: -0.378 eV/atom
**DOS(E_F)**: 0.18 states/eV per atom

(3)
Density functional theory data (PBE) for an optimized crystal structure of TlInW.

a = 3.1097 Å, b = 3.1097 Å, c = 7.5867 Å
α = 90.00°, β = 90.00°, γ = 120.00°
Space group P3m1 (No. 156)
Unique sites:
Tl 0.0000 0.0000 0.0000 (multiplicity 1)
In 0.3333 0.6667 0.6303 (multiplicity 1)
W 0.6667 0.3333 0.3239 (multiplicity 1)

Computed properties:
**DOS(E_F)**: 0.59 states/eV per atom
**Excess energy over the best structure of this formula in the dataset**: 0.000 eV/atom
**Energy of formation from the pure elements**: 76.05 kJ/mol of atoms

(4)
Density functional theory data (PBE) for an optimized crystal structure of ReBr2Cl.

a = 3.0793 Å, b = 6.0961 Å, c = 10.0464 Å
α = 90.00°, β = 90.00°, γ = 90.00°
Space group Cmmm (No. 65)
Unique sites:
Re 0.0000 0.0000 0.0000 (multiplicity 2)
Br 0.0000 0.5000 0.1984 (multiplicity 4)
Cl 0.0000 0.0000 0.5000 (multiplicity 2)

Computed properties:
**Energy relative to the elements, uncorrected**: 0.584 eV/atom
**DOS(E_F)**: 1.11 states/eV per atom
**Excess energy over the best structure of this formula in the dataset**: 0.648 eV/atom

(5)
Density functional theory data (PBE) for an optimized crystal structure of SrPrTh.

a = 3.6784 Å, b = 3.6784 Å, c = 17.3853 Å
α = 90.00°, β = 90.00°, γ = 90.00°
Space group I4mm (No. 107)
Unique sites:
Sr 0.0000 0.0000 0.0000 (multiplicity 2)
Pr 0.0000 0.0000 0.3131 (multiplicity 2)
Th 0.0000 0.0000 0.6748 (multiplicity 2)

Computed properties:
**DOS(E_F)**: 1.27 states/eV per atom
**Excess energy over the best structure of this formula in the dataset**: 0.000 eV/atom
**Energy of formation from the pure elements**: 16.75 kJ/mol of atoms

(6)
Density functional theory data (PBE) for an optimized crystal structure of TiFe3B.

a = 4.2569 Å, b = 4.2569 Å, c = 4.2569 Å
α = 90.00°, β = 90.00°, γ = 90.00°
Space group Pm-3m (No. 221)
Unique sites:
Ti 0.0000 0.0000 0.0000 (multiplicity 1)
Fe 0.0000 0.0000 0.5000 (multiplicity 3)
B 0.5000 0.5000 0.5000 (multiplicity 1)

Computed properties:
**DOS(E_F)**: 0.92 states/eV per atom
**Excess energy over the best structure of this formula in the dataset**: 2.116 eV/atom
**Energy of formation from the pure elements**: 185.73 kJ/mol of atoms